(1)
! Nd4Ga2H (GGA-PBE, optimized geometry); values from VASP
! calculated volume = 358.6 Å³/cell
! energy = -31.23 eV/f.u.
! distance to the lowest polymorph of the same formula = 0.21 eV/f.u.
! space group = I4/mmm
! crystal system = tetragonal
! magnetic moment = 0.000 μB per formula unit
&SYSTEM
  ibrav = 0, nat = 14, ntyp = 3
/
ATOMIC_SPECIES
Nd 144.24 Nd.upf
Ga 69.72 Ga.upf
H 1.01 H.upf
ATOMIC_POSITIONS crystal
Nd 0.000 0.000 0.183
Nd 0.000 0.000 0.817
Nd 0.000 0.500 0.000
Nd 0.000 0.500 0.500
Nd 0.500 0.000 0.000
Nd 0.500 0.000 0.500
Nd 0.500 0.500 0.317
Nd 0.500 0.500 0.683
Ga 0.000 0.000 0.366
Ga 0.000 0.000 0.634
Ga 0.500 0.500 0.134
Ga 0.500 0.500 0.866
H 0.000 0.000 0.000
H 0.500 0.500 0.500
CELL_PARAMETERS angstrom
4.664 0.000 0.000
0.000 4.664 0.000
0.000 0.000 16.486



(2)
! HoPaMnOs (GGA-PBE, optimized geometry); values from VASP
! calculated volume = 317.7 Å³/cell
! energy = -34.63 eV/f.u.
! space group = F-43m
! crystal system = cubic
! DFT formation energy = -0.04 eV per atom
! magnetic moment = 1.636 μB per formula unit
&SYSTEM
  ibrav = 0, nat = 16, ntyp = 4
/
ATOMIC_SPECIES
Ho 164.93 Ho.upf
Pa 231.04 Pa.upf
Mn 54.94 Mn.upf
Os 190.23 Os.upf
ATOMIC_POSITIONS crystal
Ho 0.000 0.000 0.000
Ho 0.000 0.500 0.500
Ho 0.500 0.000 0.500
Ho 0.500 0.500 0.000
Pa 0.000 0.000 0.500
Pa 0.000 0.500 0.000
Pa 0.500 0.000 0.000
Pa 0.500 0.500 0.500
Mn 0.250 0.250 0.250
Mn 0.250 0.750 0.750
Mn 0.750 0.250 0.750
Mn 0.750 0.750 0.250
Os 0.250 0.250 0.750
Os 0.250 0.750 0.250
Os 0.750 0.250 0.250
Os 0.750 0.750 0.750
CELL_PARAMETERS angstrom
6.823 0.000 0.000
0.000 6.823 0.000
0.000 0.000 6.823



Question: energy of number 2 (HoPaMnOs)?
Answer: -34.63 eV/f.u.



What did the first record say?
! Nd4Ga2H (GGA-PBE, optimized geometry); values from VASP
! calculated volume = 358.6 Å³/cell
! energy = -31.23 eV/f.u.
! distance to the lowest polymorph of the same formula = 0.21 eV/f.u.
! space group = I4/mmm
! crystal system = tetragonal
! magnetic moment = 0.000 μB per formula unit
&SYSTEM
  ibrav = 0, nat = 14, ntyp = 3
/
ATOMIC_SPECIES
Nd 144.24 Nd.upf
Ga 69.72 Ga.upf
H 1.01 H.upf
ATOMIC_POSITIONS crystal
Nd 0.000 0.000 0.183
Nd 0.000 0.000 0.817
Nd 0.000 0.500 0.000
Nd 0.000 0.500 0.500
Nd 0.500 0.000 0.000
Nd 0.500 0.000 0.500
Nd 0.500 0.500 0.317
Nd 0.500 0.500 0.683
Ga 0.000 0.000 0.366
Ga 0.000 0.000 0.634
Ga 0.500 0.500 0.134
Ga 0.500 0.500 0.866
H 0.000 0.000 0.000
H 0.500 0.500 0.500
CELL_PARAMETERS angstrom
4.664 0.000 0.000
0.000 4.664 0.000
0.000 0.000 16.486



Question: Which value of magnetic moment does entry 1 give?
Answer: 0.000 μB per formula unit